Compound: BaMnCdAu2
Source: Alexandria
Functional: PBE-GGA
Structure: optimized geometry

Values from the calculation:
- energy (eV/f.u.) = -15.64

```
data_BaMnCdAu2
_chemical_formula_sum 'Ba1 Mn1 Cd1 Au2'
_cell_length_a 5.292
_cell_length_b 5.292
_cell_length_c 6.083
_cell_angle_alpha 90.00
_cell_angle_beta 90.00
_cell_angle_gamma 90.00
_space_group_name_H-M_alt 'P 1'
_space_group_IT_number 1
_space_group_name_Hall 'P 1'
loop_
_atom_site_label
_atom_site_type_symbol
_atom_site_fract_x
_atom_site_fract_y
_atom_site_fract_z
Ba1 Ba 0.000 0.000 0.000
Mn1 Mn 0.500 0.500 0.000
Cd1 Cd 0.000 0.000 0.500
Au1 Au 0.000 0.500 0.500
Au2 Au 0.500 0.000 0.500
```

=====

Compound: Sr5Tl4Hg
Source: Alexandria
Functional: PBE-GGA
Structure: optimized geometry

Values from the calculation:
- energy (eV/f.u.) = -22.69

```
data_Sr5Tl4Hg
_chemical_formula_sum 'Sr5 Tl4 Hg1'
_cell_length_a 4.068
_cell_length_b 4.068
_cell_length_c 20.586
_cell_angle_alpha 90.00
_cell_angle_beta 90.00
_cell_angle_gamma 90.00
_space_group_name_H-M_alt 'P 1'
_space_group_IT_number 1
_space_group_name_Hall 'P 1'
loop_
_atom_site_label
_atom_site_type_symbol
_atom_site_fract_x
_atom_site_fract_y
_atom_site_fract_z
Sr1 Sr 0.000 0.000 0.000
Sr2 Sr 0.000 0.000 0.202
Sr3 Sr 0.000 0.000 0.404
Sr4 Sr 0.000 0.000 0.596
Sr5 Sr 0.000 0.000 0.798
Tl1 Tl 0.500 0.500 0.101
Tl2 Tl 0.500 0.500 0.301
Tl3 Tl 0.500 0.500 0.699
Tl4 Tl 0.500 0.500 0.899
Hg1 Hg 0.500 0.500 0.500
```

=====

Computed values of total magnetic moment (unit: μB/f.u.) for the preceding records, in sequence: 4.5 0.0.
Computed values of calculated formation energy (unit: meV/atom) for the preceding records, in sequence: 585 -451.